Record 1
A geometry-optimized CaZrSn2 structure, computed with GGA-PBE.

a = 3.8334 Å, b = 3.8334 Å, c = 7.0056 Å
α = 90.00°, β = 90.00°, γ = 90.00°
Last column: magnetic moment on the atom in μB.
Positions (direct):
Sn 0.0000 0.0000 0.7834  0.00
Sn 0.0000 0.0000 0.2166  0.00
Zr 0.5000 0.5000 0.0000  0.17
Ca 0.5000 0.5000 0.5000  0.02

Crystal system   tetragonal
DFT formation energy   -0.429 eV/atom
V   25.74 Å³/atom
DOS(E_F)   4.024 states/eV per cell
DFT total energy   -5.068 eV per atom

***

Record 2
A geometry-optimized Pm2HgGe3 structure, computed with GGA-PBE.

a = 4.1262 Å, b = 4.5790 Å, c = 7.4602 Å
α = 90.00°, β = 90.00°, γ = 90.00°
Positions (direct):
Ge 0.5000 0.5000 0.6831
Ge 0.5000 0.0000 0.8248
Ge 0.5000 0.0000 0.1584
Pm 0.0000 0.0000 0.5124
Pm 0.0000 0.5000 0.9876
Hg 0.5000 0.5000 0.3338

Crystal system   orthorhombic
DFT formation energy   -0.547 eV/atom
V   23.49 Å³/atom
DOS(E_F)   2.565 states/eV per cell
DFT total energy   -4.490 eV per atom

***

Record 3
A geometry-optimized Mn5Ga3Cl12 structure, computed with GGA-PBE.

a = 13.9118 Å, b = 13.9118 Å, c = 13.9118 Å
α = 109.47°, β = 109.47°, γ = 109.47°
Last column: magnetic moment on the atom in μB.
Positions (direct):
Cl 0.0854 0.9058 0.3845  0.06
Cl 0.4786 0.7991 0.8845  0.06
Cl 0.0854 0.1795 0.2009  0.06
Cl 0.6795 0.2009 0.5854  0.06
Cl 0.8205 0.9058 0.0214  0.06
Cl 0.8205 0.9146 0.2991  0.06
Cl 0.2009 0.5214 0.6155  0.06
Cl 0.2991 0.4146 0.8205  0.06
Cl 0.4786 0.6795 0.0942  0.06
Cl 0.0942 0.1795 0.4786  0.06
Cl 0.2991 0.8845 0.9786  0.06
Cl 0.3845 0.4058 0.0854  0.06
Cl 0.3205 0.5214 0.4058  0.06
Cl 0.7009 0.1155 0.0214  0.06
Cl 0.2009 0.6795 0.0854  0.06
Cl 0.1155 0.4146 0.0942  0.06
Cl 0.9786 0.5942 0.1795  0.06
Cl 0.3845 0.9786 0.7991  0.06
Cl 0.1795 0.0942 0.9786  0.06
Cl 0.4146 0.2991 0.3205  0.06
Cl 0.0942 0.9146 0.1155  0.06
Cl 0.9786 0.3845 0.2991  0.06
Cl 0.8845 0.5854 0.9058  0.06
Cl 0.7991 0.4786 0.3845  0.06
Cl 0.6155 0.5942 0.9146  0.06
Cl 0.5942 0.6155 0.4146  0.06
Cl 0.3205 0.7991 0.4146  0.06
Cl 0.5214 0.3205 0.9058  0.06
Cl 0.0214 0.6155 0.7009  0.06
Cl 0.1795 0.0854 0.7009  0.06
Cl 0.8845 0.2991 0.4786  0.06
Cl 0.6155 0.0214 0.2009  0.06
Cl 0.6795 0.4786 0.5942  0.06
Cl 0.4058 0.3845 0.5854  0.06
Cl 0.5854 0.7009 0.6795  0.06
Cl 0.4058 0.0214 0.3205  0.06
Cl 0.1155 0.7009 0.5214  0.06
Cl 0.5214 0.2009 0.1155  0.06
Cl 0.7009 0.5854 0.1795  0.06
Cl 0.9146 0.8205 0.7991  0.06
Cl 0.9146 0.0942 0.6155  0.06
Cl 0.5854 0.8845 0.4058  0.06
Cl 0.9058 0.8205 0.5214  0.06
Cl 0.9058 0.0854 0.8845  0.06
Cl 0.4146 0.1155 0.5942  0.06
Cl 0.5942 0.9786 0.6795  0.06
Cl 0.7991 0.3205 0.9146  0.06
Cl 0.0214 0.4058 0.8205  0.06
Mn 0.2500 0.8750 0.1250  4.24
Mn 0.8750 0.2500 0.6250  4.24
Mn 0.6250 0.7500 0.8750  4.24
Mn 0.0000 0.5000 0.5000  4.30
Mn 0.5000 0.0000 0.5000  4.30
Mn 0.2500 0.3750 0.6250  4.24
Mn 0.5000 0.5000 0.0000  4.30
Mn 0.1250 0.3750 0.2500  4.24
Mn 0.5000 0.0000 0.0000  4.30
Mn 0.6250 0.8750 0.2500  4.24
Mn 0.5000 0.5000 0.5000  4.30
Mn 0.3750 0.1250 0.7500  4.24
Mn 0.3750 0.2500 0.1250  4.24
Mn 0.8750 0.6250 0.7500  4.24
Mn 0.7500 0.6250 0.3750  4.24
Mn 0.0000 0.5000 0.0000  4.30
Mn 0.7500 0.1250 0.8750  4.24
Mn 0.1250 0.7500 0.3750  4.24
Mn 0.0000 0.0000 0.0000  4.30
Mn 0.0000 0.0000 0.5000  4.30
Ga 0.8750 0.1250 0.2500  0.01
Ga 0.8750 0.7500 0.1250  0.01
Ga 0.3750 0.6250 0.2500  0.01
Ga 0.1250 0.8750 0.7500  0.01
Ga 0.7500 0.3750 0.1250  0.01
Ga 0.6250 0.3750 0.7500  0.01
Ga 0.1250 0.2500 0.8750  0.01
Ga 0.2500 0.1250 0.3750  0.01
Ga 0.2500 0.6250 0.8750  0.01
Ga 0.6250 0.2500 0.3750  0.01
Ga 0.3750 0.7500 0.6250  0.01
Ga 0.7500 0.8750 0.6250  0.01

Crystal system   cubic
E_form (uncorrected)   -0.8640 eV per atom
V   25.91 Å³/atom
DOS(E_F)   39.756 states/eV per cell
DFT total energy   -4.718 eV per atom

***

Record 4
A geometry-optimized InSb2Os structure, computed with GGA-PBE.

a = 6.9724 Å, b = 5.0741 Å, c = 3.5253 Å
α = 90.21°, β = 59.27°, γ = 120.64°
Positions (direct):
Sb 0.0000 0.0000 0.0000
Sb 0.5000 0.0000 0.5000
In 0.0000 0.5000 0.5000
Os 0.5000 0.5000 0.0000

Crystal system   monoclinic
E_form (uncorrected)   0.6779 eV per atom
V   21.63 Å³/atom
DOS(E_F)   2.293 states/eV per cell
DFT total energy   -4.875 eV per atom

***

Record 5
A geometry-optimized MgTl2Cl structure, computed with GGA-PBE.

a = 6.6344 Å, b = 6.6344 Å, c = 6.6344 Å
α = 140.70°, β = 140.70°, γ = 56.80°
Positions (direct):
Tl 0.0000 0.0000 0.0000
Tl 0.2500 0.7500 0.5000
Cl 0.5000 0.5000 0.0000
Mg 0.7500 0.2500 0.5000

Crystal system   tetragonal
E_form (uncorrected)   -0.2920 eV per atom
V   29.05 Å³/atom
DOS(E_F)   1.979 states/eV per cell
DFT total energy   -2.335 eV per atom
Energy above the lowest structure with this stoichiometry   236 meV per atom

***

Record 6
A geometry-optimized Li11Ge6 structure, computed with GGA-PBE.

a = 12.5920 Å, b = 12.5920 Å, c = 10.5557 Å
α = 90.00°, β = 90.00°, γ = 160.08°
Positions (direct):
Li 0.5356 0.4644 0.3852
Li 0.3606 0.6394 0.7500
Li 0.0246 0.9754 0.7500
Li 0.2424 0.7576 0.8933
Li 0.2424 0.7576 0.6067
Li 0.0873 0.9127 0.4988
Li 0.1428 0.8572 0.7500
Li 0.9127 0.0873 0.9988
Li 0.8210 0.1790 0.6185
Li 0.4644 0.5356 0.8852
Li 0.8572 0.1428 0.2500
Li 0.0873 0.9127 0.0012
Li 0.5356 0.4644 0.1148
Li 0.1790 0.8210 0.1185
Li 0.7576 0.2424 0.1067
Li 0.9127 0.0873 0.5012
Li 0.6394 0.3606 0.2500
Li 0.9754 0.0246 0.2500
Li 0.4644 0.5356 0.6148
Li 0.8210 0.1790 0.8815
Li 0.1790 0.8210 0.3815
Li 0.7576 0.2424 0.3933
Ge 0.9192 0.0808 0.7500
Ge 0.4248 0.5752 0.1337
Ge 0.6707 0.3293 0.5517
Ge 0.3293 0.6707 0.4483
Ge 0.4248 0.5752 0.3663
Ge 0.2715 0.7285 0.2500
Ge 0.6707 0.3293 0.9483
Ge 0.7285 0.2715 0.7500
Ge 0.3293 0.6707 0.0517
Ge 0.5752 0.4248 0.8663
Ge 0.0808 0.9192 0.2500
Ge 0.5752 0.4248 0.6337

Crystal system   orthorhombic
DFT formation energy   -0.322 eV/atom
V   16.77 Å³/atom
DOS(E_F)   4.821 states/eV per cell
DFT total energy   -3.190 eV per atom